[1]
Material: CaEuCdSb
Method: DFT, PBE
State: optimized geometry

## Properties
SG: F-43m, No. 216
Raw formation energy (eV per formula unit): -2.5
Volume (A^3/atom): 29.40

a = 7.7773 Å, b = 7.7773 Å, c = 7.7773 Å
α = 90.00°, β = 90.00°, γ = 90.00°
Closest atoms and distances in Å follow each position.
Fractional coordinates of all 16 atoms:
Ca  0.0000  0.0000  0.0000  4 Cd 3.37, 4 Sb 3.37
Ca  0.0000  0.5000  0.5000  4 Cd 3.37, 4 Sb 3.37
Ca  0.5000  0.0000  0.5000  4 Cd 3.37, 4 Sb 3.37
Ca  0.5000  0.5000  0.0000  4 Cd 3.37, 4 Sb 3.37
Eu  0.0000  0.0000  0.5000  4 Sb 3.37, 4 Cd 3.37
Eu  0.0000  0.5000  0.0000  4 Sb 3.37, 4 Cd 3.37
Eu  0.5000  0.0000  0.0000  4 Sb 3.37, 4 Cd 3.37
Eu  0.5000  0.5000  0.5000  4 Sb 3.37, 4 Cd 3.37
Cd  0.2500  0.2500  0.2500  4 Ca 3.37, 4 Eu 3.37
Cd  0.2500  0.7500  0.7500  4 Ca 3.37, 4 Eu 3.37
Cd  0.7500  0.2500  0.7500  4 Ca 3.37, 4 Eu 3.37
Cd  0.7500  0.7500  0.2500  4 Ca 3.37, 4 Eu 3.37
Sb  0.2500  0.2500  0.7500  4 Ca 3.37, 4 Eu 3.37
Sb  0.2500  0.7500  0.2500  4 Ca 3.37, 4 Eu 3.37
Sb  0.7500  0.2500  0.2500  4 Ca 3.37, 4 Eu 3.37
Sb  0.7500  0.7500  0.7500  4 Ca 3.37, 4 Eu 3.37


[2]
Material: Pr2Sm2Te2Se3
Method: DFT, PBE
State: optimized geometry

## Properties
SG: I4/mmm, No. 139
Raw formation energy (eV per formula unit): -13.3
Volume (A^3/atom): 29.36

a = 8.9963 Å, b = 8.9963 Å, c = 8.9963 Å
α = 142.81°, β = 142.81°, γ = 53.61°
Closest atoms and distances in Å follow each position.
Fractional coordinates of all 9 atoms:
Pr  0.1956  0.1956  0.0000  5 Se 3.00-3.14, 1 Te 3.21
Pr  0.8044  0.8044  0.0000  5 Se 3.00-3.14, 1 Te 3.21
Sm  0.0000  0.5000  0.5000  2 Se 2.87
Sm  0.5000  0.0000  0.5000  2 Se 2.87
Te  0.3953  0.3953  0.0000  1 Pr 3.21, 4 Sm 3.32, 1 Te 3.36
Te  0.6047  0.6047  0.0000  1 Pr 3.21, 4 Sm 3.32, 1 Te 3.36
Se  0.0000  0.0000  0.0000  4 Sm 2.87, 2 Pr 3.14
Se  0.2500  0.7500  0.5000  4 Pr 3.00
Se  0.7500  0.2500  0.5000  4 Pr 3.00


[3]
Material: MgScTe
Method: DFT, PBE
State: optimized geometry

## Properties
SG: P3m1, No. 156
Raw formation energy (eV per formula unit): -0.7
Volume (A^3/atom): 25.25
Energy above the most stable polymorph in this dataset (meV/atom): 305.3

a = 4.8167 Å, b = 4.8167 Å, c = 3.7705 Å
α = 90.00°, β = 90.00°, γ = 120.00°
Closest atoms and distances in Å follow each position.
Fractional coordinates of all 3 atoms:
Mg  0.0000  0.0000  0.0000  3 Te 2.95, 3 Sc 3.23
Sc  0.6667  0.3333  0.4379  3 Te 3.00, 3 Mg 3.23
Te  0.3333  0.6667  0.7367  3 Mg 2.95, 3 Sc 3.00


[4]
Material: PrNdCdTc
Method: DFT, PBE
State: optimized geometry

## Properties
SG: F-43m, No. 216
Volume (A^3/atom): 25.15
Energy of formation from the pure elements (kJ/mol of formula units): 14

a = 7.3826 Å, b = 7.3826 Å, c = 7.3826 Å
α = 90.00°, β = 90.00°, γ = 90.00°
Closest atoms and distances in Å follow each position.
Fractional coordinates of all 16 atoms:
Pr  0.0000  0.0000  0.0000  4 Cd 3.20, 4 Tc 3.20
Pr  0.0000  0.5000  0.5000  4 Cd 3.20, 4 Tc 3.20
Pr  0.5000  0.0000  0.5000  4 Cd 3.20, 4 Tc 3.20
Pr  0.5000  0.5000  0.0000  4 Cd 3.20, 4 Tc 3.20
Nd  0.0000  0.0000  0.5000  4 Cd 3.20, 4 Tc 3.20
Nd  0.0000  0.5000  0.0000  4 Cd 3.20, 4 Tc 3.20
Nd  0.5000  0.0000  0.0000  4 Cd 3.20, 4 Tc 3.20
Nd  0.5000  0.5000  0.5000  4 Cd 3.20, 4 Tc 3.20
Cd  0.2500  0.2500  0.2500  4 Pr 3.20, 4 Nd 3.20
Cd  0.2500  0.7500  0.7500  4 Nd 3.20, 4 Pr 3.20
Cd  0.7500  0.2500  0.7500  4 Nd 3.20, 4 Pr 3.20
Cd  0.7500  0.7500  0.2500  4 Nd 3.20, 4 Pr 3.20
Tc  0.2500  0.2500  0.7500  4 Pr 3.20, 4 Nd 3.20
Tc  0.2500  0.7500  0.2500  4 Pr 3.20, 4 Nd 3.20
Tc  0.7500  0.2500  0.2500  4 Pr 3.20, 4 Nd 3.20
Tc  0.7500  0.7500  0.7500  4 Pr 3.20, 4 Nd 3.20


[5]
Material: La2MgAgI
Method: DFT, PBE
State: optimized geometry

## Properties
SG: P4/mmm, No. 123
Raw formation energy (eV per formula unit): 2.2
Volume (A^3/atom): 39.22

a = 5.9767 Å, b = 5.9767 Å, c = 5.4901 Å
α = 90.00°, β = 90.00°, γ = 90.00°
Closest atoms and distances in Å follow each position.
Fractional coordinates of all 5 atoms:
La  0.0000  0.5000  0.0000  2 Mg 2.99
La  0.5000  0.0000  0.0000  2 Mg 2.99
Mg  0.0000  0.0000  0.0000  2 I 2.75, 4 La 2.99
Ag  0.5000  0.5000  0.5000  8 La 4.06, 4 I 4.23
I  0.0000  0.0000  0.5000  2 Mg 2.75


[6]
Material: CsPrSn2Br8
Method: DFT, PBE
State: optimized geometry

## Properties
SG: P-1, No. 2
Raw formation energy (eV per formula unit): -15.4
Volume (A^3/atom): 42.39

a = 6.9495 Å, b = 7.4422 Å, c = 9.9374 Å
α = 83.70°, β = 85.54°, γ = 86.76°
Closest atoms and distances in Å follow each position.
Fractional coordinates of all 12 atoms:
Cs  0.0000  0.0000  0.0000  6 Br 3.54-3.64
Pr  0.0000  0.0000  0.5000  6 Br 2.92-2.98
Sn  0.4792  0.4822  0.2495  3 Br 2.70-3.00
Sn  0.5208  0.5178  0.7505  3 Br 2.70-3.00
Br  0.2349  0.3271  0.4678  1 Sn 2.83, 1 Pr 2.98
Br  0.2480  0.8365  0.2915  1 Pr 2.92, 1 Sn 3.06
Br  0.2591  0.8513  0.7080  1 Pr 2.93, 1 Sn 3.00
Br  0.2646  0.3910  0.0551  1 Sn 2.70
Br  0.7354  0.6090  0.9449  1 Sn 2.70
Br  0.7409  0.1487  0.2920  1 Pr 2.93, 1 Sn 3.00
Br  0.7520  0.1635  0.7085  1 Pr 2.92, 1 Sn 3.06
Br  0.7651  0.6729  0.5322  1 Sn 2.83, 1 Pr 2.98


[7]
Material: Ba3NaSr
Method: DFT, PBE
State: optimized geometry

## Properties
SG: P2_1/m, No. 11
Volume (A^3/atom): 59.59
Energy of formation from the pure elements (kJ/mol of formula units): 49
Energy above the most stable polymorph in this dataset (meV/atom): 88.9

a = 4.4040 Å, b = 13.3632 Å, c = 10.1257 Å
α = 90.00°, β = 90.05°, γ = 90.00°
Closest atoms and distances in Å follow each position.
Fractional coordinates of all 10 atoms:
Ba  0.2472  0.9997  0.2648  2 Na 4.00-4.01, 3 Sr 4.40-4.44, 2 Ba 4.40
Ba  0.2472  0.5003  0.2648  2 Na 4.00-4.01, 3 Sr 4.40-4.44, 2 Ba 4.40
Ba  0.2529  0.2500  0.9528  2 Na 3.79-3.81, 1 Sr 4.05
Ba  0.7471  0.7500  0.0472  2 Na 3.79-3.81, 1 Sr 4.05
Ba  0.7528  0.0003  0.7352  2 Na 4.00-4.01, 3 Sr 4.40-4.44, 2 Ba 4.40
Ba  0.7528  0.4997  0.7352  2 Na 4.00-4.01, 3 Sr 4.40-4.44, 2 Ba 4.40
Na  0.2515  0.7500  0.7412  2 Sr 3.70-3.71, 6 Ba 3.79-4.01
Na  0.7485  0.2500  0.2588  2 Sr 3.70-3.71, 6 Ba 3.79-4.01
Sr  0.2523  0.2500  0.5531  2 Na 3.70-3.71, 1 Ba 4.05
Sr  0.7477  0.7500  0.4469  2 Na 3.70-3.71, 1 Ba 4.05


[8]
Material: SiHgIr2
Method: DFT, PBE
State: optimized geometry

## Properties
SG: R-3m, No. 166
Raw formation energy (eV per formula unit): -0.7
Volume (A^3/atom): 15.88
Energy above the most stable polymorph in this dataset (meV/atom): 15.0

a = 2.9026 Å, b = 2.9026 Å, c = 26.1157 Å
α = 90.00°, β = 90.00°, γ = 120.00°
Closest atoms and distances in Å follow each position.
Fractional coordinates of all 12 atoms:
Si  0.0000  0.0000  0.0000  6 Ir 2.43
Si  0.3333  0.6667  0.6667  6 Ir 2.43
Si  0.6667  0.3333  0.3333  6 Ir 2.43
Hg  0.0000  0.0000  0.5000  6 Hg 2.90, 6 Ir 3.09
Hg  0.3333  0.6667  0.1667  6 Hg 2.90, 6 Ir 3.09
Hg  0.6667  0.3333  0.8333  6 Hg 2.90, 6 Ir 3.09
Ir  0.0000  0.0000  0.2659  3 Si 2.43
Ir  0.0000  0.0000  0.7341  3 Si 2.43
Ir  0.3333  0.6667  0.4007  3 Si 2.43
Ir  0.3333  0.6667  0.9326  3 Si 2.43
Ir  0.6667  0.3333  0.0674  3 Si 2.43
Ir  0.6667  0.3333  0.5993  3 Si 2.43